The following is a PBE-GGA calculation of a geometry-optimized ZnC structure, from the Alexandria database.

Cell and atoms, written as extended XYZ:
```
4
Lattice="-2.0468 0.2647 2.7736 0.0867 -2.9445 -1.8097 2.9861 -1.3455 2.3321" Properties=species:S:1:pos:R:3 pbc="T T T"
Zn 0.1220 -2.2111 0.3011
Zn 0.9039 -1.8141 2.9949
C 0.0000 0.0000 0.0000
C 1.4931 -0.6727 1.1661
```

Properties
Offset from the most stable computed form, meV/atom: 1405
Symmetry: P6_3/mmc (194)
Crystal system: hexagonal
Calculated formation energy, eV/atom: 1.487